1.
Crystalline Pr4IrSe3 at its relaxed geometry, computed with PBE-GGA.

Unit cell a=4.2009 b=7.4747 c=7.4747 alpha=108.81 beta=90.00 gamma=90.00
Fractional coordinates of all 8 atoms:
1 Pr 0.0000 0.2293 0.2293
2 Pr 0.5000 0.7576 0.2424
3 Pr 0.0000 0.7707 0.7707
4 Pr 0.5000 0.2424 0.7576
5 Ir 0.5000 0.0000 0.0000
6 Se 0.0000 0.0000 0.5000
7 Se 0.5000 0.5000 0.5000
8 Se 0.0000 0.5000 0.0000

Calculated values
The calculation puts the uncorrected formation energy at -1528 meV per atom. Its total energy is -50.7 eV for the cell shown. The calculation puts the volume at 27.77 Å³/atom. The calculation puts the mass density at 7.42 g/cm³.

---

2.
Crystalline Pr2IrSe at its relaxed geometry, computed with PBE-GGA.

Unit cell a=4.1524 b=4.1524 c=7.8059 alpha=74.57 beta=74.57 gamma=60.00
Fractional coordinates of all 4 atoms:
1 Pr 0.0745 0.0745 0.7766
2 Pr 0.2592 0.2592 0.2223
3 Ir 0.6664 0.6664 0.0009
4 Se 0.5000 0.5000 0.5001

Calculated values
The calculation puts the uncorrected formation energy at -1123 meV per atom. Its total energy is -26.4 eV for the cell shown. The offset from the most stable computed form comes out at 63.1 meV per atom. The calculation puts the volume at 27.73 Å³/atom. The calculation puts the mass density at 8.28 g/cm³.

---

3.
Crystalline Pr2IrSe at its relaxed geometry, computed with PBE-GGA.

Unit cell a=3.6194 b=3.6194 c=7.4442 alpha=90.00 beta=90.00 gamma=90.00
Fractional coordinates of all 4 atoms:
1 Pr 0.0000 0.0000 0.7655
2 Pr 0.0000 0.0000 0.2345
3 Ir 0.5000 0.5000 0.0000
4 Se 0.5000 0.5000 0.5000

Calculated values
The calculation puts the uncorrected formation energy at -1049 meV per atom. Its total energy is -26.1 eV for the cell shown. The offset from the most stable computed form comes out at 137.1 meV per atom. The calculation puts the volume at 24.38 Å³/atom. The calculation puts the mass density at 9.42 g/cm³.

---

The lowest mass density belongs to which entry? Pr4IrSe3

---

Look up the mass density of the second one. 8.28 g/cm³